1.
Here is an optimized crystal structure of CdTeNF2 from Alexandria. Energies are from PBE.

## Properties
Raw formation energy = -29.4 kJ per mole of atoms
Energy relative to the lowest polymorph listed for this composition = 0 meV per atom

Unit cell a=4.625 b=4.625 c=4.131 alpha=90.00 beta=90.00 gamma=90.00
Space group P4/mmm (No. 123)
Inequivalent atoms, fractional coordinates:
Cd1 0.000 0.000 0.000 x1
Te1 0.500 0.500 0.500 x1
N1 0.500 0.500 0.000 x1
F1 0.000 0.500 0.500 x2

2.
Here is an optimized crystal structure of Ti2CdNF from Alexandria. Energies are from PBE.

## Properties
Raw formation energy = -46.1 kJ per mole of atoms

Unit cell a=3.995 b=3.995 c=5.261 alpha=90.00 beta=90.00 gamma=90.00
Space group P4/mmm (No. 123)
Inequivalent atoms, fractional coordinates:
Ti1 0.000 0.500 0.000 x2
Cd1 0.000 0.000 0.500 x1
N1 0.000 0.000 0.000 x1
F1 0.500 0.500 0.500 x1

3.
Here is an optimized crystal structure of TlCdNF2 from Alexandria. Energies are from PBE.

## Properties
Raw formation energy = -58.1 kJ per mole of atoms
Energy relative to the lowest polymorph listed for this composition = 0 meV per atom

Unit cell a=4.626 b=4.626 c=4.424 alpha=90.00 beta=90.00 gamma=90.00
Space group P4/mmm (No. 123)
Inequivalent atoms, fractional coordinates:
Tl1 0.000 0.000 0.000 x1
Cd1 0.500 0.500 0.500 x1
N1 0.500 0.500 0.000 x1
F1 0.000 0.500 0.500 x2

no.,raw total energy (eV/f.u.)
1,-17.6
2,-29.3
3,-18.4